Below is an optimized crystal structure of Ba3HfFe2O9, with properties calculated at the GGA+U level.

Cell lengths 5.7839, 5.7839, 7.0936 Å; angles 90.00, 90.00, 120.00 degrees
Site moments in Bohr magnetons follow the coordinates.
Fractional positions:
O1 0.8304 0.6608 0.6707  0.07
O2 0.3392 0.1696 0.6707  0.07
O3 0.8304 0.1696 0.6707  0.07
Hf1 0.0000 0.0000 0.5000  0.04
Ba1 0.0000 0.0000 0.0000  0.00
O4 0.5000 0.0000 0.0000  0.01
O5 0.5000 0.5000 0.0000  0.01
Fe1 0.6667 0.3333 0.8334  4.08
O6 0.1696 0.8304 0.3293  0.07
Ba2 0.3333 0.6667 0.6740  0.00
O7 0.1696 0.3392 0.3293  0.07
Ba3 0.6667 0.3333 0.3260  0.00
O8 0.6608 0.8304 0.3293  0.07
Fe2 0.3333 0.6667 0.1666  4.08
O9 0.0000 0.5000 0.0000  0.01

Properties
calculated volume	205.5	Å³/cell
VASP energy	-7.1083	eV/atom
DOS at the Fermi energy	8.4	states/eV/cell
total magnetization	0.589	μB per atom